1.
First-principles (PBE-GGA) data for Ba3Mg2In3 after structural relaxation, as listed in Alexandria via LeMat-Bulk.

```
32
Lattice="6.6611 0.0000 0.0000 0.0000 9.9075 0.0000 0.0000 0.0000 17.6251" Properties=species:S:1:pos:R:3 pbc="T T T"
Ba 0.7959 4.4029 6.9122
Ba 4.1265 0.5508 10.7129
Ba 5.8651 5.5045 15.7247
Ba 2.5346 9.3567 1.9004
Ba 5.8651 5.5045 10.7129
Ba 2.5346 9.3567 6.9122
Ba 0.7959 4.4029 1.9004
Ba 4.1265 0.5508 15.7247
Ba 3.9444 2.9184 4.4063
Ba 0.6139 2.0353 13.2188
Ba 2.7167 6.9891 13.2188
Ba 6.0472 7.8721 4.4063
Mg 5.9430 0.9017 7.1117
Mg 2.6124 4.0520 10.5133
Mg 0.7181 9.0058 15.9243
Mg 4.0486 5.8554 1.7008
Mg 0.7181 9.0058 10.5133
Mg 4.0486 5.8554 7.1117
Mg 5.9430 0.9017 1.7008
Mg 2.6124 4.0520 15.9243
In 0.5745 1.4364 4.4063
In 3.9050 3.5174 13.2188
In 6.0866 8.4711 13.2188
In 2.7561 6.3901 4.4063
In 4.1212 2.9871 8.0857
In 0.7906 1.9667 9.5394
In 2.5399 6.9204 16.8982
In 5.8704 7.9408 0.7269
In 2.5399 6.9204 9.5394
In 5.8704 7.9408 8.0857
In 4.1212 2.9871 0.7269
In 0.7906 1.9667 16.8982
```

Output
Size of the total moment = 0.0 Bohr magnetons per cell
DFT formation energy = -0.30 eV/atom


2.
First-principles (PBE-GGA) data for Ba3Mg4In4 after structural relaxation, as listed in Alexandria via LeMat-Bulk.

```
11
Lattice="-2.0066 1.9562 -4.2952 -7.0197 -3.7300 1.5806 1.8632 7.7168 5.7058" Properties=species:S:1:pos:R:3 pbc="T T T"
Ba -0.6958 1.7934 1.1418
Ba -6.4673 4.1496 1.8494
Ba -3.5099 -1.8650 0.7903
Mg -0.4166 5.2252 2.5743
Mg -4.0756 2.1370 -0.1846
Mg -6.7466 0.7177 0.4169
Mg -3.0876 3.8060 3.1757
In -4.6608 1.1012 2.6789
In -2.5024 4.8417 0.3123
In -6.7509 -2.0760 -0.8534
In -2.2754 0.3021 -1.8612
```

Output
Size of the total moment = 0.0 Bohr magnetons per cell
DFT formation energy = -0.29 eV/atom


3.
First-principles (PBE-GGA) data for Ba6MgIn2 after structural relaxation, as listed in Alexandria via LeMat-Bulk.

```
18
Lattice="1.4022 1.0103 11.7248 -4.0893 -6.6244 7.0496 7.3012 -5.1103 5.5570" Properties=species:S:1:pos:R:3 pbc="T T T"
Ba 5.6337 -5.1049 9.0573
Ba -1.0196 -5.6195 15.2741
Ba 6.2630 -4.6514 14.3197
Ba -1.6489 -6.0730 10.0117
Ba -0.3642 -2.4344 12.2329
Ba 4.9784 -8.2900 12.0985
Ba 4.0633 -1.8459 11.6527
Ba 0.5508 -8.8785 12.6787
Ba 2.4433 -2.9171 15.6855
Ba 2.1708 -7.8074 8.6459
Ba 1.5662 -3.5490 8.3513
Ba 3.0480 -7.1754 15.9801
Mg 2.3071 -5.3622 12.1657
Mg 0.0000 0.0000 0.0000
In 0.9109 -0.9721 5.9646
In 3.7033 -9.7524 18.3668
In 3.4859 -5.6175 6.0569
In -0.2739 -6.1173 6.5497
```

Output
Size of the total moment = 2.8 Bohr magnetons per cell
Polymorph energy (0 for the lowest one) = 11 meV per atom
DFT formation energy = -0.17 eV/atom


4.
First-principles (PBE-GGA) data for Ba2MgIn after structural relaxation, as listed in Alexandria via LeMat-Bulk.

```
4
Lattice="-7.5225 2.9659 -0.1716 2.9343 -7.5103 -0.6319 -2.4884 6.4221 4.2401" Properties=species:S:1:pos:R:3 pbc="T T T"
Ba -7.4839 7.0183 3.0416
Ba -2.5269 2.3697 1.0270
Mg 0.0000 0.0000 0.0000
In -5.0054 4.6940 2.0343
```

Output
Size of the total moment = 0.0 Bohr magnetons per cell
DFT formation energy = 0.42 eV/atom


5.
First-principles (PBE-GGA) data for Ba2MgIn6 after structural relaxation, as listed in Alexandria via LeMat-Bulk.

```
9
Lattice="-0.9410 -2.2270 -6.3270 -5.0919 -3.9915 2.1625 -6.3909 2.3834 0.1118" Properties=species:S:1:pos:R:3 pbc="T T T"
Ba -4.6313 -2.4381 -4.6456
Ba -7.7926 -1.3971 0.5929
Mg 0.0000 0.0000 0.0000
In -4.7393 -2.9113 -0.7037
In -2.3403 -1.0311 -1.7229
In -5.3512 0.0918 -1.6697
In -7.6846 -0.9238 -3.3490
In -10.0836 -2.8041 -2.3298
In -7.0727 -3.9270 -2.3830
```

Output
Size of the total moment = 0.0 Bohr magnetons per cell
DFT formation energy = -0.35 eV/atom


6.
First-principles (PBE-GGA) data for Ba2MgIn after structural relaxation, as listed in Alexandria via LeMat-Bulk.

```
4
Lattice="-5.8859 0.0154 1.1596 -4.4205 -3.8216 1.3578 0.0816 0.4269 7.6624" Properties=species:S:1:pos:R:3 pbc="T T T"
Ba -10.2669 -3.7879 2.5796
Ba -5.1519 -1.7079 5.0278
In -2.5562 -0.8448 2.5450
Mg -7.6686 -2.5344 7.6349
```

Output
Size of the total moment = 0.0 Bohr magnetons per cell
DFT formation energy = -0.01 eV/atom


7.
First-principles (PBE-GGA) data for Ba2MgIn after structural relaxation, as listed in Alexandria via LeMat-Bulk.

```
4
Lattice="7.2411 0.0826 0.0659 6.0310 4.0084 0.0659 2.5121 0.7743 5.4899" Properties=species:S:1:pos:R:3 pbc="T T T"
Mg 12.3004 3.7915 3.9821
Ba 2.7611 0.8511 5.3671
Ba 3.5837 1.1047 1.5859
In 7.5430 2.3251 2.9875
```

Output
Size of the total moment = 0.0 Bohr magnetons per cell
DFT formation energy = -0.23 eV/atom


8.
First-principles (PBE-GGA) data for Ba2Mg3In after structural relaxation, as listed in Alexandria via LeMat-Bulk.

```
6
Lattice="-2.6371 -3.7641 -4.6061 4.0292 4.8387 -1.6405 4.6154 -2.4840 3.9721" Properties=species:S:1:pos:R:3 pbc="T T T"
Ba 0.0701 -1.2868 -3.5766
Ba 5.9374 -0.1227 1.3021
Mg 3.0037 -0.7047 -1.1372
Mg 2.3077 -1.2420 1.9860
Mg 0.9891 -3.1241 -0.3170
In 0.0000 0.0000 0.0000
```

Output
Size of the total moment = 0.0 Bohr magnetons per cell
DFT formation energy = -0.20 eV/atom


9.
First-principles (PBE-GGA) data for BaMg2In8 after structural relaxation, as listed in Alexandria via LeMat-Bulk.

```
11
Lattice="-2.7854 -5.2109 4.7935 -3.7478 -3.2853 -5.7490 4.8155 -3.5799 -1.0934" Properties=species:S:1:pos:R:3 pbc="T T T"
Ba -0.8589 -6.0380 -1.0245
Mg -1.3927 -2.6054 2.3968
Mg -1.8739 -1.6426 -2.8745
In -3.9999 -7.6796 -1.0376
In 0.6230 -7.5002 1.8438
In -1.6092 -9.4569 -1.5804
In -1.7676 -5.7229 2.3866
In -2.3408 -4.5759 -3.8927
In 0.0499 -6.3532 -4.4356
In -0.1086 -2.6192 -0.4685
In 2.2821 -4.3965 -1.0113
```

Output
Size of the total moment = 0.0 Bohr magnetons per cell
DFT formation energy = 0.03 eV/atom


10.
First-principles (PBE-GGA) data for BaMgIn after structural relaxation, as listed in Alexandria via LeMat-Bulk.

```
3
Lattice="-0.7995 6.3465 -3.2864 0.2027 3.8501 -6.0707 -3.6337 0.0314 -1.3359" Properties=species:S:1:pos:R:3 pbc="T T T"
Ba -0.6075 10.1609 -9.3290
In -2.6966 3.1680 -3.8110
Mg -1.5232 7.0957 -6.9102
```

Output
Size of the total moment = 0.0 Bohr magnetons per cell
DFT formation energy = -0.19 eV/atom


11.
First-principles (PBE-GGA) data for Ba2Mg5In3 after structural relaxation, as listed in Alexandria via LeMat-Bulk.

```
20
Lattice="-3.3625 1.8965 5.8509 -9.7831 0.9812 -1.7414 -3.6513 -8.0179 4.6995" Properties=species:S:1:pos:R:3 pbc="T T T"
Ba -7.0019 -0.1796 0.2332
Ba -5.6326 -3.7083 6.3629
Ba -9.7950 -4.9607 8.5758
Ba -11.1643 -1.4320 2.4461
Mg -7.3664 -6.9031 6.4021
Mg -13.5056 0.5878 4.6448
Mg -9.4305 1.7628 2.4069
Mg -3.2913 -5.7281 4.1642
Mg -11.7562 -4.3286 5.1443
Mg -5.0407 -0.8117 3.6647
Mg -9.2391 -2.0960 5.8672
Mg -7.5578 -3.0443 2.9418
Mg -6.7219 0.1365 6.5902
Mg -10.0750 -5.2769 2.2188
In -8.8729 -4.9234 4.8946
In -12.1956 -1.5661 6.0959
In -7.9241 -0.2169 3.9144
In -4.6013 -3.5742 2.7131
In -0.8406 0.4741 1.4627
In -2.5219 1.4224 4.3882
```

Output
Size of the total moment = 0.0 Bohr magnetons per cell
Polymorph energy (0 for the lowest one) = 0 meV per atom
DFT formation energy = -0.23 eV/atom


12.
First-principles (PBE-GGA) data for Ba3Mg2In9 after structural relaxation, as listed in Alexandria via LeMat-Bulk.

```
14
Lattice="-4.6219 1.7053 0.9575 -5.5646 -3.8462 -6.8581 -4.6902 -7.4849 3.8432" Properties=species:S:1:pos:R:3 pbc="T T T"
Ba 0.0000 0.0000 0.0000
Ba -6.3408 -2.2726 -0.2546
Ba -8.5360 -7.3531 -1.8027
Mg -7.2669 -5.5265 1.0701
Mg -7.6099 -4.0992 -3.1275
In -5.1274 -5.6655 -1.5074
In -11.7798 -7.9012 -3.3319
In -3.0970 -1.7245 1.2746
In -11.5456 -8.8755 -0.4666
In -3.3311 -0.7502 -1.5908
In -10.7329 -4.9859 -3.4710
In -4.1438 -4.6398 1.4136
In -10.3467 -6.5933 1.2562
In -4.5301 -3.0325 -3.3136
```

Output
Size of the total moment = 0.0 Bohr magnetons per cell
DFT formation energy = -0.35 eV/atom


13.
First-principles (PBE-GGA) data for Ba2MgIn after structural relaxation, as listed in Alexandria via LeMat-Bulk.

```
4
Lattice="4.1104 0.0000 0.0000 0.0000 4.1106 0.0000 0.0000 0.0000 9.8373" Properties=species:S:1:pos:R:3 pbc="T T T"
Ba 0.0000 0.0000 9.2014
Ba 2.0552 2.0553 3.1165
In 0.0000 0.0000 5.4597
Mg 2.0552 2.0553 6.8155
```

Output
Size of the total moment = 0.0 Bohr magnetons per cell
DFT formation energy = -0.12 eV/atom


14.
First-principles (PBE-GGA) data for BaMg4In12 after structural relaxation, as listed in Alexandria via LeMat-Bulk.

```
17
Lattice="-3.8111 3.2015 -7.2053 -2.9904 -8.0862 1.5367 -1.8745 5.1523 6.8287" Properties=species:S:1:pos:R:3 pbc="T T T"
Ba 0.0000 0.0000 0.0000
Mg -1.4952 -4.0431 0.7683
Mg -1.9056 1.6008 -3.6027
Mg -4.3380 0.1338 0.5800
Mg -0.9373 2.5762 3.4143
In -4.6690 0.8753 -4.1715
In -3.1665 -2.1881 -0.7324
In -4.7071 4.6321 -1.1129
In -3.5473 3.8650 3.5279
In -3.9689 -4.3645 2.2729
In -5.5096 2.4557 1.8924
In -3.0668 2.2220 -1.0042
In -5.6093 -1.9544 2.1643
In -5.1287 -3.5974 -2.3678
In -6.0725 0.0289 -1.7581
In -2.6035 0.2387 2.9182
In -4.0071 -0.6077 5.3316
```

Output
Size of the total moment = 0.0 Bohr magnetons per cell
DFT formation energy = 0.07 eV/atom


15.
First-principles (PBE-GGA) data for Ba3Mg7In2 after structural relaxation, as listed in Alexandria via LeMat-Bulk.

```
12
Lattice="-4.5031 -1.5171 -1.1620 -0.2930 -3.3589 5.5210 -4.9735 8.8054 7.7786" Properties=species:S:1:pos:R:3 pbc="T T T"
Ba -2.3980 -2.4380 2.1795
Ba -4.2331 1.4357 4.2335
Ba -5.5365 2.4938 7.9040
Mg -4.0790 5.8935 8.1134
Mg -7.5483 3.3951 4.2268
Mg 0.0000 0.0000 0.0000
Mg -5.6906 -1.9640 4.0241
Mg -3.5366 -2.0997 6.1506
Mg -6.2329 6.0291 5.9869
Mg -2.2212 0.5344 7.9107
In -4.2744 4.4630 10.7383
In -5.4952 -0.5335 1.3992
```

Output
Size of the total moment = 0.0 Bohr magnetons per cell
DFT formation energy = -0.13 eV/atom


16.
First-principles (PBE-GGA) data for BaMgIn after structural relaxation, as listed in Alexandria via LeMat-Bulk.

```
3
Lattice="-1.6187 -4.4918 3.0073 3.7535 -3.9890 1.3561 1.6982 -0.5741 5.3504" Properties=species:S:1:pos:R:3 pbc="T T T"
Ba 2.8748 -6.7912 7.2853
In 0.0000 0.0000 0.0000
Mg 1.9166 -4.5274 4.8569
```

Output
Size of the total moment = 0.0 Bohr magnetons per cell
DFT formation energy = 0.28 eV/atom


17.
First-principles (PBE-GGA) data for Ba3Mg4In2 after structural relaxation, as listed in Alexandria via LeMat-Bulk.

```
9
Lattice="5.2167 0.0000 1.3916 2.2381 6.0958 2.0837 0.1467 -0.1672 9.9235" Properties=species:S:1:pos:R:3 pbc="T T T"
Ba 3.3508 4.1543 8.3861
Ba 0.0000 0.0000 0.0000
Ba 4.2507 1.7743 5.0128
Mg 2.3772 2.2175 1.5623
Mg 5.2243 3.7111 11.8365
Mg 0.9469 1.7013 6.9239
Mg 6.6545 4.2273 6.4750
In 4.2538 5.5174 5.0010
In 3.3477 0.4111 8.3979
```

Output
Size of the total moment = 0.0 Bohr magnetons per cell
DFT formation energy = -0.19 eV/atom


18.
First-principles (PBE-GGA) data for Ba2MgIn2 after structural relaxation, as listed in Alexandria via LeMat-Bulk.

```
10
Lattice="-2.4913 5.5861 -5.4983 -2.3621 -6.0362 -5.0623 -4.9992 0.0306 2.2962" Properties=species:S:1:pos:R:3 pbc="T T T"
Mg 0.0000 0.0000 0.0000
Mg -2.4267 -0.2250 -5.2803
Ba -4.4837 -3.0773 -3.1304
Ba -6.1288 -1.3049 -6.7355
Ba -5.3689 2.6578 -5.1341
Ba -3.7239 0.8854 -1.5289
In -2.9466 -3.1818 -6.3729
In -3.6547 0.9848 -7.9701
In -1.9068 2.7318 -4.1878
In -1.1987 -1.4349 -2.5906
```

Output
Size of the total moment = 0.0 Bohr magnetons per cell
Polymorph energy (0 for the lowest one) = 91 meV per atom
DFT formation energy = -0.25 eV/atom


19.
First-principles (PBE-GGA) data for Ba2MgMnIn after structural relaxation, as listed in Alexandria via LeMat-Bulk.

```
5
Lattice="6.7043 0.0000 0.0000 0.0000 5.1321 0.0000 0.0000 0.0000 6.7043" Properties=species:S:1:pos:R:3 pbc="T T T"
Mg 3.3522 2.5661 3.3522
Mn 0.0000 2.5661 0.0000
Ba 0.0000 0.0000 3.3522
Ba 3.3522 0.0000 0.0000
In 0.0000 0.0000 0.0000
```

Output
Size of the total moment = 3.9 Bohr magnetons per cell
DFT formation energy = 0.38 eV/atom


20.
First-principles (PBE-GGA) data for Ba2MgInN after structural relaxation, as listed in Alexandria via LeMat-Bulk.

```
5
Lattice="5.9688 0.0000 0.0000 0.0000 5.9688 0.0000 0.0000 0.0000 4.1471" Properties=species:S:1:pos:R:3 pbc="T T T"
Mg 0.0000 0.0000 2.0735
N 0.0000 0.0000 0.0000
Ba 0.0000 2.9844 0.0000
Ba 2.9844 0.0000 0.0000
In 2.9844 2.9844 2.0735
```

Output
Size of the total moment = 0.0 Bohr magnetons per cell
Raw formation energy = -0.3497 eV per atom


In order of appearance, final energy = -2.44, -2.39, -2.24, -1.63, -2.78, -2.06, -2.27, -2.10, -2.43, -2.27, -2.23, -2.75, -2.16, -2.35, -2.00, -1.81, -2.15, -2.44, -3.08, -3.65 eV/atom.